Record 1
Here is CaRhI after structural relaxation from the Alexandria database. Energies are from PBE.

Total magnetization (μB/atom): 0.00
ρ (g/cm3): 5.62

Cell: 5.9442 4.1145 6.5238 Å, 90.00 90.00 90.00°
With the nearest neighbours (Å) after each atom.
Sites, in units of the cell vectors:
Ca (0.2500, 0.0000, 0.2163)  4 Rh 2.90
Ca (0.7500, 0.0000, 0.7837)  4 Rh 2.90
Rh (0.0000, 0.5000, 0.0000)  2 I 2.59, 4 Ca 2.90
Rh (0.5000, 0.5000, 0.0000)  2 I 2.59, 4 Ca 2.90
I (0.2500, 0.5000, 0.6743)  2 Rh 2.59
I (0.7500, 0.5000, 0.3257)  2 Rh 2.59


Record 2
Here is CaSb2RhI after structural relaxation from the Alexandria database. Energies are from PBE.

E above lowest polymorph (eV/f.u.): 5.68
Total magnetization (μB/atom): 0.23
ρ (g/cm3): 4.45

Cell: 5.7735 5.7735 5.7486 Å, 90.00 90.00 90.00°
With the nearest neighbours (Å) after each atom.
Sites, in units of the cell vectors:
Ca (0.0000, 0.0000, 0.0000)  2 I 2.87, 4 Sb 2.89
Sb (0.0000, 0.5000, 0.0000)  2 Ca 2.89
Sb (0.5000, 0.0000, 0.0000)  2 Ca 2.89
Rh (0.5000, 0.5000, 0.5000)  8 Sb 4.07, 4 I 4.08
I (0.0000, 0.0000, 0.5000)  2 Ca 2.87


| no. | formation energy without anion corrections (meV per atom) |
| --- | --- |
| 1 | -625 |
| 2 | 974 |